[1]
Here is HfPbSCl2 after structural relaxation from the Alexandria database. Energies are from GGA-PBE.

```
HfPbSCl2
1.0
5.380 0.000 0.000
0.000 5.380 0.000
0.000 0.000 5.492
Cl S Hf Pb
2 1 1 1
direct
0.500 0.000 0.000
0.000 0.500 0.000
0.000 0.000 0.500
0.500 0.500 0.500
0.000 0.000 0.000
```

## Properties
For the energy, the calculation gives -3.934 eV/atom. The calculation puts the raw formation energy at 1.81 eV per formula unit. Its crystal system is tetragonal.


[2]
Here is HfSbPb2Cl after structural relaxation from the Alexandria database. Energies are from GGA-PBE.

```
HfSbPb2Cl
1.0
5.803 0.000 0.000
0.000 4.764 0.000
0.000 0.000 5.803
Cl Pb Hf Sb
1 2 1 1
direct
0.000 0.500 0.000
0.500 0.000 0.000
0.000 0.000 0.500
0.000 0.000 0.000
0.500 0.500 0.500
```

## Properties
For the energy, the calculation gives -4.616 eV/atom. The calculation puts the raw formation energy at 0.26 eV per formula unit. Its crystal system is tetragonal.


[3]
Here is HfTlPbCl2 after structural relaxation from the Alexandria database. Energies are from GGA-PBE.

```
HfTlPbCl2
1.0
4.874 0.000 0.000
0.000 6.120 0.000
0.000 0.000 4.874
Tl Cl Pb Hf
1 2 1 1
direct
0.000 0.500 0.000
0.000 0.000 0.500
0.500 0.000 0.000
0.500 0.500 0.500
0.000 0.000 0.000
```

## Properties
For the energy, the calculation gives -4.367 eV/atom. The calculation puts the raw formation energy at -2.11 eV per formula unit. Its crystal system is tetragonal.


[4]
Here is HfPb2WCl after structural relaxation from the Alexandria database. Energies are from GGA-PBE.

```
HfPb2WCl
1.0
-0.906 5.349 -0.316
-3.483 -0.378 3.579
3.798 0.867 3.788
Hf Pb W Cl
1 2 1 1
direct
0.000 0.500 0.000
0.500 0.000 0.000
0.000 0.000 0.500
0.000 0.000 0.000
0.500 0.500 0.500
```

## Properties
For the energy, the calculation gives -5.946 eV/atom. The calculation puts the raw formation energy at 2.44 eV per formula unit. Its crystal system is tetragonal.


[5]
Here is Hf2Pd2Cl after structural relaxation from the Alexandria database. Energies are from GGA-PBE.

```
Hf2Pd2Cl
1.0
7.849 0.000 0.000
0.000 7.849 0.000
0.000 0.000 3.179
Cl Hf Pd
2 4 4
direct
0.000 0.000 0.000
0.500 0.500 0.000
0.158 0.658 0.500
0.842 0.342 0.500
0.658 0.842 0.500
0.342 0.158 0.500
0.367 0.867 0.000
0.133 0.367 0.000
0.867 0.633 0.000
0.633 0.133 0.000
```

## Properties
For the energy, the calculation gives -6.846 eV/atom. The calculation puts the raw formation energy at -2.09 eV per formula unit. Its crystal system is tetragonal.


[6]
Here is HfPd3Cl after structural relaxation from the Alexandria database. Energies are from GGA-PBE.

```
HfPd3Cl
1.0
-4.799 0.703 -1.004
-1.086 -4.320 2.166
-0.568 2.319 4.339
Pd Hf Cl
3 1 1
direct
0.000 0.000 0.500
0.000 0.500 0.000
0.500 0.000 0.000
0.000 0.000 0.000
0.500 0.500 0.500
```

## Properties
For the energy, the calculation gives -4.928 eV/atom. The calculation puts the raw formation energy at 2.74 eV per formula unit. Its crystal system is cubic.


[7]
Here is Hf2PdCl after structural relaxation from the Alexandria database. Energies are from GGA-PBE.

```
Hf2PdCl
1.0
-1.065 -0.015 4.803
-3.175 -3.689 -0.716
3.421 -6.856 3.256
Hf Pd Cl
4 2 2
direct
0.875 0.855 0.750
0.605 0.125 0.250
0.145 0.625 0.250
0.375 0.395 0.750
0.750 0.250 0.500
0.000 0.000 0.000
0.250 0.750 0.500
0.500 0.500 0.000
```

## Properties
For the energy, the calculation gives -6.718 eV/atom. The calculation puts the raw formation energy at 0.07 eV per formula unit. Its crystal system is tetragonal.


[8]
Here is Hf2PdCl after structural relaxation from the Alexandria database. Energies are from GGA-PBE.

```
Hf2PdCl
1.0
4.537 -1.193 -0.467
1.510 -4.183 1.565
1.251 -3.353 -3.069
Cl Pd Hf
1 1 2
direct
0.000 0.000 0.000
0.500 0.500 0.500
0.250 0.250 0.250
0.750 0.750 0.750
```

## Properties
For the energy, the calculation gives -7.065 eV/atom. The calculation puts the raw formation energy at -1.31 eV per formula unit. Its crystal system is cubic.


[9]
Here is Hf2Pd2Cl after structural relaxation from the Alexandria database. Energies are from GGA-PBE.

```
Hf2Pd2Cl
1.0
-0.352 -4.553 -0.867
3.580 -0.819 2.848
-1.688 -3.194 4.996
Hf Pd Cl
2 2 1
direct
0.750 0.250 0.500
0.250 0.750 0.500
0.376 0.376 0.249
0.624 0.624 0.751
0.000 0.000 0.000
```

## Properties
For the energy, the calculation gives -6.613 eV/atom. The calculation puts the raw formation energy at -0.93 eV per formula unit. Its crystal system is tetragonal.


[10]
Here is HfPd3Cl after structural relaxation from the Alexandria database. Energies are from GGA-PBE.

```
HfPd3Cl
1.0
4.568 0.000 0.000
0.000 4.568 0.000
0.000 0.000 4.568
Pd Hf Cl
3 1 1
direct
0.500 0.000 0.000
0.000 0.000 0.500
0.000 0.500 0.000
0.500 0.500 0.500
0.000 0.000 0.000
```

## Properties
For the energy, the calculation gives -5.029 eV/atom. The calculation puts the raw formation energy at 2.23 eV per formula unit. Its crystal system is cubic.


[11]
Here is HfPdCl6 after structural relaxation from the Alexandria database. Energies are from GGA-PBE.

```
HfPdCl6
1.0
-0.606 -7.203 -1.230
0.959 -4.916 5.147
-4.986 -2.212 3.827
Hf Cl Pd
1 6 1
direct
0.500 0.500 0.000
0.689 0.684 0.000
0.237 0.622 0.302
0.311 0.316 0.000
0.763 0.378 0.698
0.763 0.076 0.302
0.237 0.924 0.698
0.000 0.000 0.000
```

## Properties
For the energy, the calculation gives -4.555 eV/atom. The calculation puts the raw formation energy at -10.21 eV per formula unit. Its crystal system is monoclinic.


[12]
Here is Hf3PdCl after structural relaxation from the Alexandria database. Energies are from GGA-PBE.

```
Hf3PdCl
1.0
4.669 0.000 0.000
0.000 4.669 0.000
0.000 0.000 4.669
Hf Cl Pd
3 1 1
direct
0.000 0.000 0.500
0.000 0.500 0.000
0.500 0.000 0.000
0.000 0.000 0.000
0.500 0.500 0.500
```

## Properties
For the energy, the calculation gives -7.265 eV/atom. The calculation puts the raw formation energy at 0.58 eV per formula unit. Its crystal system is cubic.